This record from the Open Quantum Materials Database describes a relaxed structure of PrGd2N3. The functional is PBE.

abc: 3.5616 3.5616 8.7340
angles: 90.00 90.00 120.00
Space group P-3m1 (No. 164)
Asymmetric unit:
Pr  0.0000  0.0000  0.0000 (multiplicity 1)
Gd  0.3333  0.6667  0.3376 (multiplicity 2)
N  0.0000  0.0000  0.5000 (multiplicity 1)
N  0.3333  0.6667  0.8240 (multiplicity 2)

This record from the Open Quantum Materials Database describes a relaxed structure of NbNiAs. The functional is PBE.

abc: 6.5546 6.5546 3.5883
angles: 90.00 90.00 120.00
Space group P-62m (No. 189)
Asymmetric unit:
Nb  0.0000  0.6270  0.0000 (multiplicity 3)
Ni  0.0000  0.0000  0.0000 (multiplicity 1)
Ni  0.3333  0.6667  0.5000 (multiplicity 2)
As  0.0000  0.2954  0.5000 (multiplicity 3)

This record from the Open Quantum Materials Database describes a relaxed structure of ZrCd3N. The functional is PBE.

abc: 4.614 4.614 4.614
angles: 90.00 90.00 90.00
Space group Pm-3m (No. 221)
Asymmetric unit:
Zr  0.000  0.000  0.000 (multiplicity 1)
Cd  0.000  0.500  0.500 (multiplicity 3)
N  0.500  0.500  0.500 (multiplicity 1)

This record from the Open Quantum Materials Database describes a relaxed structure of GaFe2Ge2. The functional is PBE.

abc: 3.957 3.957 10.268
angles: 90.00 90.00 90.00
Space group I4/mmm (No. 139)
Asymmetric unit:
Ga  0.000  0.000  0.000 (multiplicity 2)
Fe  0.000  0.500  0.250 (multiplicity 4)
Ge  0.000  0.000  0.381 (multiplicity 4)

This record from the Open Quantum Materials Database describes a relaxed structure of Er2GeO5. The functional is PBE.

Output
Its energy above the most stable polymorph in this dataset is 15 meV/atom.

abc: 9.154 6.927 6.640
angles: 90.00 103.42 90.00
Space group P2_1/c (No. 14)
Asymmetric unit:
Er  0.027  0.126  0.230 (multiplicity 4)
Er  0.360  0.138  0.027 (multiplicity 4)
Ge  0.303  0.595  0.019 (multiplicity 4)
O  0.107  0.639  0.993 (multiplicity 4)
O  0.109  0.116  0.925 (multiplicity 4)
O  0.281  0.081  0.314 (multiplicity 4)
O  0.391  0.693  0.482 (multiplicity 4)
O  0.393  0.070  0.708 (multiplicity 4)

This record from the Open Quantum Materials Database describes a relaxed structure of DyYAg6. The functional is PBE.

Output
Its formation energy is -0.2671 eV/atom.

abc: 5.010 6.126 5.212
angles: 90.00 90.00 90.00
Space group Pmm2 (No. 25)
Asymmetric unit:
Dy  0.000  0.000  0.000 (multiplicity 1)
Y  0.500  0.500  0.692 (multiplicity 1)
Ag  0.000  0.254  0.506 (multiplicity 2)
Ag  0.000  0.500  0.028 (multiplicity 1)
Ag  0.500  0.000  0.666 (multiplicity 1)
Ag  0.500  0.244  0.186 (multiplicity 2)

This record from the Open Quantum Materials Database describes a relaxed structure of PmTaPd. The functional is PBE.

Output
Its energy above the most stable polymorph in this dataset is 1160 meV/atom. Its formation energy is 1.1383 eV/atom.

abc: 6.629 6.629 6.629
angles: 90.00 90.00 90.00
Space group F-43m (No. 216)
Asymmetric unit:
Pm  0.000  0.000  0.000 (multiplicity 4)
Ta  0.250  0.250  0.250 (multiplicity 4)
Pd  0.250  0.250  0.750 (multiplicity 4)

This record from the Open Quantum Materials Database describes a relaxed structure of AgPdSO. The functional is PBE.

Output
Its energy above the most stable polymorph in this dataset is 35 meV/atom.

abc: 5.187 3.288 14.888
angles: 90.00 90.00 90.00
Space group Pnma (No. 62)
Asymmetric unit:
Ag  0.145  0.250  0.216 (multiplicity 4)
Pd  0.248  0.250  0.946 (multiplicity 4)
S  0.243  0.250  0.556 (multiplicity 4)
O  0.229  0.750  0.856 (multiplicity 4)

The following E values (in eV per cell) correspond, in order, to the records above: -48.0; -63.7; -16.1; -55.6; -248.0; -30.1; -73.4; -70.7.